No. 1
! TaBeCuSn, relaxed, DFT PBE; values from VASP
! polymorph energy (0 for the lowest one) = 0 meV/atom
! total moment = 0.92 μB per cell
! SG = No. 216
! E_tot = -21.257 eV for the cell shown
! V = 15.33 Å³ per atom
&SYSTEM
  ibrav = 0, nat = 4, ntyp = 4
/
ATOMIC_SPECIES
Ta 180.95 Ta.upf
Be 9.01 Be.upf
Cu 63.55 Cu.upf
Sn 118.71 Sn.upf
ATOMIC_POSITIONS crystal
Ta 0.000 0.000 0.000
Be 0.250 0.250 0.250
Cu 0.750 0.750 0.750
Sn 0.500 0.500 0.500
CELL_PARAMETERS angstrom
0.000 3.130 3.130
3.130 0.000 3.130
3.130 3.130 0.000

=====

No. 2
! BeCuTcSn, relaxed, DFT PBE; values from VASP
! polymorph energy (0 for the lowest one) = 0 meV/atom
! total moment = 0.00 μB per cell
! SG = No. 216
! E_tot = -20.713 eV for the cell shown
! V = 14.41 Å³ per atom
&SYSTEM
  ibrav = 0, nat = 4, ntyp = 4
/
ATOMIC_SPECIES
Be 9.01 Be.upf
Cu 63.55 Cu.upf
Tc 98.00 Tc.upf
Sn 118.71 Sn.upf
ATOMIC_POSITIONS crystal
Be 0.000 0.000 0.000
Cu 0.750 0.750 0.750
Tc 0.250 0.250 0.250
Sn 0.500 0.500 0.500
CELL_PARAMETERS angstrom
0.000 3.066 3.066
3.066 0.000 3.066
3.066 3.066 0.000

=====

No. 3
! BeCuTcSn, relaxed, DFT PBE; values from VASP
! polymorph energy (0 for the lowest one) = 96 meV/atom
! total moment = 0.01 μB per cell
! SG = No. 216
! E_tot = -20.329 eV for the cell shown
! V = 13.92 Å³ per atom
&SYSTEM
  ibrav = 0, nat = 4, ntyp = 4
/
ATOMIC_SPECIES
Be 9.01 Be.upf
Cu 63.55 Cu.upf
Tc 98.00 Tc.upf
Sn 118.71 Sn.upf
ATOMIC_POSITIONS crystal
Be 0.000 0.000 0.000
Cu 0.500 0.500 0.500
Tc 0.250 0.250 0.250
Sn 0.750 0.750 0.750
CELL_PARAMETERS angstrom
0.000 3.031 3.031
3.031 0.000 3.031
3.031 3.031 0.000